Density functional theory data (PBE) for crystalline TlAgPdCl4 at its relaxed geometry.

Output
Space-group type: P2_1/m, No. 11
Raw total energy in eV per formula unit: -20.8
Crystal system: monoclinic
Formation energy (no corrections) in eV/atom: -0.435
Density in g/cm3: 4.768

Lattice parameters (Å, degrees): 7.420 7.079 8.966 90.00 124.01 90.00
Last column: magnetic moment on the atom in μB.
Element x y z (fractional)
Tl 0.147 0.250 0.118  0.00
Cl 0.976 0.994 0.288  0.10
Cl 0.976 0.506 0.288  0.10
Pd 0.817 0.250 0.755  0.47
Cl 0.477 0.750 0.566  0.01
Ag 0.183 0.250 0.554  0.05
Cl 0.572 0.250 0.842  0.08
Pd 0.183 0.750 0.245  0.47
Ag 0.817 0.750 0.446  0.05
Cl 0.024 0.006 0.712  0.10
Cl 0.428 0.750 0.158  0.08
Cl 0.024 0.494 0.712  0.10
Cl 0.523 0.250 0.434  0.01
Tl 0.853 0.750 0.882  0.00